This record from Alexandria via LeMat-Bulk describes a relaxed CaGdTmMg crystal. The functional is PBE-GGA.

Summary:
Total magnetization ... 7.2 μB per formula unit
Energy ... -0.2004 Ha/atom
ΔE_f ... 0.08 eV per atom

Structure (POSCAR):
```
CaGdTmMg
1.0
-3.249 -2.923 -3.486
-1.853 -5.060 1.488
-5.409 -0.757 1.194
Ca Tm Mg Gd
1 1 1 1
Direct
0.750 0.750 0.750
0.500 0.500 0.500
0.000 0.000 0.000
0.250 0.250 0.250
```